No. 1
Entry from Alexandria: La3Pm2Er6 after structural relaxation (PBE-GGA).

Lattice parameters (Å, degrees): 6.1902 10.7460 11.6504 90.00 100.26 90.00
Closest atoms and distances in Å follow each position.
Space group C2/m (No. 12)
One atom of each set of equivalent atoms:
La1 0.0000 0.0000 0.0000  6 Er 3.56-3.57, 6 La 3.56-3.61
La2 0.0000 0.3362 0.0000  6 La 3.52-3.61, 6 Er 3.54-3.58
Pm1 0.0000 0.1664 0.5000  6 Er 3.50-3.51, 3 Pm 3.58
Er1 0.2486 0.3338 0.7468  2 Pm 3.50-3.51, 3 La 3.56-3.58, 6 Er 3.56-3.59
Er2 0.2505 0.0000 0.7471  2 Pm 3.51, 3 La 3.54-3.57, 6 Er 3.56-3.59

No. 2
Entry from Alexandria: La2PmPr6Er3 after structural relaxation (PBE-GGA).

Lattice parameters (Å, degrees): 6.3610 11.0271 12.0707 90.00 100.11 90.00
Closest atoms and distances in Å follow each position.
Space group C2/m (No. 12)
One atom of each set of equivalent atoms:
La1 0.0000 0.1667 0.0000  3 La 3.67-3.68, 3 Pm 3.67-3.68, 6 Pr 3.71
Pm1 0.0000 0.5000 0.0000  6 La 3.67-3.68, 6 Pr 3.71
Pr1 0.2473 0.5000 0.7437  3 Er 3.59, 6 Pr 3.67-3.68, 1 Pm 3.71, 2 La 3.71
Pr2 0.2479 0.1664 0.7436  3 Er 3.59, 6 Pr 3.67-3.68, 1 Pm 3.71, 2 La 3.71
Er1 0.0000 0.0000 0.5000  6 Pr 3.59, 6 Er 3.67-3.68
Er2 0.0000 0.3335 0.5000  6 Pr 3.59, 6 Er 3.67-3.68

No. 3
Entry from Alexandria: LaPmPr2Er2 after structural relaxation (PBE-GGA).

Lattice parameters (Å, degrees): 7.1179 9.9976 5.7681 90.00 90.00 90.00
Closest atoms and distances in Å follow each position.
Space group Pnnm (No. 58)
One atom of each set of equivalent atoms:
La1 0.0000 0.0000 0.0000  2 Pm 3.56, 6 Pr 3.77-3.78, 6 Er 3.77-3.78
Pm1 0.0000 0.5000 0.5000  2 La 3.56, 6 Pr 3.77-3.78, 6 Er 3.77-3.78
Pr1 0.2483 0.3328 0.0000  5 Er 3.33-3.57
Er1 0.2500 0.1662 0.5000  5 Pr 3.33-3.57

ΔH_f (0 K) / eV/atom: 0.19, 0.02, 0.06